[1]
DFT (PBE) results for a relaxed structure of LiHBr2.

Values from the calculation:
- ρ: 3027 kg/m³
- Electronic total energy: -36.1 eV/cell

The structure in CIF format:
```
data_LiHBr2
_cell_length_a 4.1236
_cell_length_b 4.1236
_cell_length_c 18.7501
_cell_angle_alpha 90.00
_cell_angle_beta 90.00
_cell_angle_gamma 120.00
_space_group_name_H-M_alt 'R -3 m'
_space_group_IT_number 166
_space_group_name_Hall '-R 3 2"'
loop_
_atom_site_label
_atom_site_fract_x
_atom_site_fract_y
_atom_site_fract_z
Li1 0.0000 0.0000 0.0000
H1 0.0000 0.0000 0.5000
Br1 0.0000 0.0000 0.4089
```

---

[2]
DFT (PBE) results for a relaxed structure of LiH2Br2.

Values from the calculation:
- ρ: 2726 kg/m³
- Electronic total energy: -28.0 eV/cell

The structure in CIF format:
```
data_LiH2Br2
_cell_length_a 7.4211
_cell_length_b 4.8221
_cell_length_c 6.1175
_cell_angle_alpha 90.00
_cell_angle_beta 110.07
_cell_angle_gamma 90.00
_space_group_name_H-M_alt 'C 1 2/m 1'
_space_group_IT_number 12
loop_
_space_group_symop_operation_xyz
'x,y,z'
'-x,-y,-z'
'-x,y,-z'
'x,-y,z'
'x+1/2,y+1/2,z'
'-x+1/2,-y+1/2,-z'
'-x+1/2,y+1/2,-z'
'x+1/2,-y+1/2,z'
loop_
_atom_site_label
_atom_site_fract_x
_atom_site_fract_y
_atom_site_fract_z
Li1 0.0000 0.0000 0.0000
H1 0.0549 0.5000 0.0469
Br1 0.1701 0.0000 0.7064
```

---

[3]
DFT (PBE) results for a relaxed structure of Li2HBr.

Values from the calculation:
- ρ: 2336 kg/m³
- Electronic total energy: -49.7 eV/cell

The structure in CIF format:
```
data_Li2HBr
_cell_length_a 5.1638
_cell_length_b 5.1638
_cell_length_c 10.1071
_cell_angle_alpha 90.00
_cell_angle_beta 90.00
_cell_angle_gamma 90.00
_space_group_name_H-M_alt 'I -4 2 d'
_space_group_IT_number 122
_space_group_name_Hall 'I -4 2bw'
loop_
_atom_site_label
_atom_site_fract_x
_atom_site_fract_y
_atom_site_fract_z
Li1 0.1537 0.2500 0.1250
H1 0.0000 0.0000 0.0000
Br1 0.0000 0.0000 0.5000
```

---

Taking the records one at a time from the top gives size of the total moment values of 0.000; 0.000; 0.000 μB/cell.
Taking the records one at a time from the top gives D(E_F) values of 0.0; 1.8; 0.0 states/eV per cell.